[1]
DFT (PBE-GGA) results for Li2As2Rh after structural relaxation.

Results
- E above lowest polymorph: 490.6 meV per atom
- Total magnetic moment: 0.00 μB per atom
- D(E_F): 4.12 states/eV per cell
- Formation energy: -65 kJ/mol of formula units
- Space-group type: No. 139

Cell: 3.6724 3.6724 11.4897 Å, 90.00 90.00 90.00°
Closest atoms and distances in Å follow each position.
Element x y z (fractional)
Li: 0.0000 0.5000 0.2500  4 As 2.52, 4 Li 2.60
Li: 0.0000 0.5000 0.7500  4 As 2.52, 4 Li 2.60
Li: 0.5000 0.0000 0.2500  4 As 2.52, 4 Li 2.60
Li: 0.5000 0.0000 0.7500  4 As 2.52, 4 Li 2.60
As: 0.0000 0.0000 0.0997  1 As 2.29, 4 Li 2.52
As: 0.0000 0.0000 0.9003  1 As 2.29, 4 Li 2.52
As: 0.5000 0.5000 0.4003  1 As 2.29, 4 Li 2.52
As: 0.5000 0.5000 0.5997  1 As 2.29, 4 Li 2.52
Rh: 0.0000 0.0000 0.5000  8 As 2.84
Rh: 0.5000 0.5000 0.0000  8 As 2.84


[2]
DFT (PBE-GGA) results for Hf2MnGaN after structural relaxation.

Results
- E above lowest polymorph: 2293.1 meV per atom
- Total magnetic moment: 0.61 μB per atom
- D(E_F): 3.94 states/eV per cell
- Space-group type: No. 123
- Uncorrected formation energy: 1570 meV per atom

Cell: 4.9392 4.9392 4.3992 Å, 90.00 90.00 90.00°
Closest atoms and distances in Å follow each position.
Element x y z (fractional)
Hf: 0.0000 0.5000 0.0000  2 Ga 2.47
Hf: 0.5000 0.0000 0.0000  2 Ga 2.47
Mn: 0.0000 0.0000 0.5000  2 Ga 2.20
Ga: 0.0000 0.0000 0.0000  2 Mn 2.20
N: 0.5000 0.5000 0.5000  8 Hf 3.31, 4 Mn 3.49


[3]
DFT (PBE-GGA) results for AlRhBr after structural relaxation.

Results
- E above lowest polymorph: 615.0 meV per atom
- Total magnetic moment: 0.00 μB per atom
- D(E_F): 11.67 states/eV per cell
- Space-group type: No. 216
- Uncorrected formation energy: 334 meV per atom

Cell: 6.1716 6.1716 6.1716 Å, 90.00 90.00 90.00°
Closest atoms and distances in Å follow each position.
Element x y z (fractional)
Al: 0.0000 0.0000 0.0000  4 Br 2.67, 4 Rh 2.67
Al: 0.0000 0.5000 0.5000  4 Br 2.67, 4 Rh 2.67
Al: 0.5000 0.0000 0.5000  4 Br 2.67, 4 Rh 2.67
Al: 0.5000 0.5000 0.0000  4 Br 2.67, 4 Rh 2.67
Rh: 0.2500 0.2500 0.7500  4 Al 2.67
Rh: 0.2500 0.7500 0.2500  4 Al 2.67
Rh: 0.7500 0.2500 0.2500  4 Al 2.67
Rh: 0.7500 0.7500 0.7500  4 Al 2.67
Br: 0.2500 0.2500 0.2500  4 Al 2.67
Br: 0.2500 0.7500 0.7500  4 Al 2.67
Br: 0.7500 0.2500 0.7500  4 Al 2.67
Br: 0.7500 0.7500 0.2500  4 Al 2.67


[4]
DFT (PBE-GGA) results for Rb after structural relaxation.

Results
- E above lowest polymorph: 62.3 meV per atom
- Total magnetic moment: 0.00 μB per atom
- D(E_F): 3.55 states/eV per cell
- Formation energy: 6 kJ/mol of formula units
- Space-group type: No. 141

Cell: 4.6857 4.6857 16.9412 Å, 90.00 90.00 90.00°
Closest atoms and distances in Å follow each position.
Element x y z (fractional)
Rb: 0.0000 0.2500 0.3750  8 Rb 4.69-4.84
Rb: 0.0000 0.7500 0.6250  8 Rb 4.69-4.84
Rb: 0.5000 0.2500 0.1250  8 Rb 4.69-4.84
Rb: 0.5000 0.7500 0.8750  8 Rb 4.69-4.84


[5]
DFT (PBE-GGA) results for Dy7HgIr4 after structural relaxation.

Results
- Total magnetic moment: 0.00 μB per atom
- D(E_F): 6.82 states/eV per cell
- Formation energy: -609 kJ/mol of formula units
- Space-group type: No. 12

Cell: 7.3668 7.3668 9.7903 Å, 123.12 123.12 42.90°
Closest atoms and distances in Å follow each position.
Element x y z (fractional)
Dy: 0.0000 0.0000 0.0000  2 Hg 2.69, 4 Ir 2.81-2.84
Dy: 0.1716 0.1716 0.6169  2 Ir 2.68-2.98
Dy: 0.2871 0.2871 0.1270  4 Ir 2.91-3.15, 1 Dy 3.21
Dy: 0.4241 0.4241 0.6401  1 Ir 2.69
Dy: 0.5759 0.5759 0.3599  1 Ir 2.69
Dy: 0.7129 0.7129 0.8730  4 Ir 2.91-3.15, 1 Dy 3.21
Dy: 0.8284 0.8284 0.3831  2 Ir 2.68-2.98
Hg: 0.5000 0.5000 0.0000  2 Dy 2.69
Ir: 0.0682 0.0682 0.7797  3 Dy 2.68-2.93
Ir: 0.2049 0.2049 0.3418  4 Dy 2.69-2.98
Ir: 0.7951 0.7951 0.6582  4 Dy 2.69-2.98
Ir: 0.9318 0.9318 0.2203  3 Dy 2.68-2.93


[6]
DFT (PBE-GGA) results for B5C after structural relaxation.

Results
- E above lowest polymorph: 205.5 meV per atom
- Total magnetic moment: 0.00 μB per atom
- D(E_F): 1.75 states/eV per cell
- Formation energy: 233 kJ/mol of formula units
- Space-group type: No. 31

Cell: 2.7300 8.9254 3.5242 Å, 90.00 90.00 90.00°
Closest atoms and distances in Å follow each position.
Element x y z (fractional)
B: 0.0000 0.0357 0.0000  3 C 1.57-1.62
B: 0.0000 0.3470 0.4254  7 B 1.73-1.93
B: 0.0000 0.3719 0.9382  7 B 1.73-1.92
B: 0.0000 0.5409 0.1883  7 B 1.75-1.93
B: 0.0000 0.7408 0.1849  1 C 1.59
B: 0.5000 0.2592 0.6849  1 C 1.59
B: 0.5000 0.4591 0.6883  7 B 1.75-1.93
B: 0.5000 0.6281 0.4382  7 B 1.73-1.92
B: 0.5000 0.6530 0.9254  7 B 1.73-1.93
B: 0.5000 0.9643 0.5000  3 C 1.57-1.62
C: 0.0000 0.9096 0.3312  4 B 1.57-1.62
C: 0.5000 0.0904 0.8312  4 B 1.57-1.62


[7]
DFT (PBE-GGA) results for Pr3Zn4In after structural relaxation.

Results
- Total magnetic moment: 0.00 μB per atom
- D(E_F): 13.27 states/eV per cell
- Formation energy: -141 kJ/mol of formula units
- Space-group type: No. 71

Cell: 3.8435 6.8025 15.9902 Å, 90.00 90.00 90.00°
Closest atoms and distances in Å follow each position.
Element x y z (fractional)
Pr: 0.0000 0.0000 0.0000  8 Zn 3.08
Pr: 0.0000 0.5000 0.2004  6 Zn 3.07
Pr: 0.0000 0.5000 0.7996  6 Zn 3.07
Pr: 0.5000 0.0000 0.2996  6 Zn 3.07
Pr: 0.5000 0.0000 0.7004  6 Zn 3.07
Pr: 0.5000 0.5000 0.5000  8 Zn 3.08
Zn: 0.0000 0.3070 0.3736  1 Zn 2.63, 1 In 2.91
Zn: 0.0000 0.3070 0.6264  1 Zn 2.63, 1 In 2.91
Zn: 0.0000 0.6930 0.3736  1 Zn 2.63, 1 In 2.91
Zn: 0.0000 0.6930 0.6264  1 Zn 2.63, 1 In 2.91
Zn: 0.5000 0.1930 0.1264  1 Zn 2.63, 1 In 2.91
Zn: 0.5000 0.1930 0.8736  1 Zn 2.63, 1 In 2.91
Zn: 0.5000 0.8070 0.1264  1 Zn 2.63, 1 In 2.91
Zn: 0.5000 0.8070 0.8736  1 Zn 2.63, 1 In 2.91
In: 0.0000 0.0000 0.5000  4 Zn 2.91
In: 0.5000 0.5000 0.0000  4 Zn 2.91


[8]
DFT (PBE-GGA) results for Ac5Cd2In5 after structural relaxation.

Results
- Total magnetic moment: 0.00 μB per atom
- D(E_F): 7.15 states/eV per cell
- Formation energy: -455 kJ/mol of formula units
- Space-group type: No. 12

Cell: 9.2477 9.2477 10.7102 Å, 125.05 125.05 32.44°
Closest atoms and distances in Å follow each position.
Element x y z (fractional)
Ac: 0.0000 0.0000 0.0000  6 In 3.42-3.74, 4 Cd 3.43
Ac: 0.1390 0.1390 0.4461  1 Cd 3.45, 7 In 3.50-3.85, 1 Ac 3.85
Ac: 0.1500 0.1500 0.8351  5 In 3.46-3.77, 1 Cd 3.50
Ac: 0.8500 0.8500 0.1649  5 In 3.46-3.77, 1 Cd 3.50
Ac: 0.8610 0.8610 0.5539  1 Cd 3.45, 7 In 3.50-3.85, 1 Ac 3.85
Cd: 0.3427 0.3427 0.8235  4 In 2.99-3.23
Cd: 0.6573 0.6573 0.1765  4 In 2.99-3.23
In: 0.2630 0.2630 0.2654  2 Cd 2.99
In: 0.4905 0.4905 0.1991  2 Cd 3.11-3.23, 1 In 3.13, 4 Ac 3.42-3.46
In: 0.5000 0.5000 0.5000  4 In 3.13-3.37
In: 0.5095 0.5095 0.8009  2 Cd 3.11-3.23, 1 In 3.13, 4 Ac 3.42-3.46
In: 0.7370 0.7370 0.7346  2 Cd 2.99


[9]
DFT (PBE-GGA) results for HfCu3P after structural relaxation.

Results
- E above lowest polymorph: 0.0 meV per atom
- Total magnetic moment: 0.00 μB per atom
- D(E_F): 3.80 states/eV per cell
- Formation energy: 151 kJ/mol of formula units
- Space-group type: No. 221

Cell: 4.2962 4.2962 4.2962 Å, 90.00 90.00 90.00°
Closest atoms and distances in Å follow each position.
Element x y z (fractional)
Hf: 0.0000 0.0000 0.0000  12 Cu 3.04
Cu: 0.0000 0.5000 0.5000  2 P 2.15
Cu: 0.5000 0.0000 0.5000  2 P 2.15
Cu: 0.5000 0.5000 0.0000  2 P 2.15
P: 0.5000 0.5000 0.5000  6 Cu 2.15


[10]
DFT (PBE-GGA) results for SmY6Tm2Sc after structural relaxation.

Results
- Total magnetic moment: 0.00 μB per atom
- D(E_F): 28.92 states/eV per cell
- Formation energy: 119 kJ/mol of formula units
- Space-group type: No. 15

Cell: 9.0925 9.0925 8.7431 Å, 91.14 91.14 118.90°
Closest atoms and distances in Å follow each position.
Element x y z (fractional)
Sm: 0.0332 0.9668 0.7500  4 Tm 3.33-3.58, 6 Y 3.42-3.62
Sm: 0.9668 0.0332 0.2500  4 Tm 3.33-3.58, 6 Y 3.42-3.62
Y: 0.0458 0.4594 0.2946  1 Sc 3.31, 1 Tm 3.31, 5 Y 3.38-3.63, 1 Sm 3.60
Y: 0.1290 0.7918 0.0518  1 Tm 3.34, 7 Y 3.39-3.63, 2 Sm 3.42-3.62
Y: 0.2082 0.8710 0.4482  1 Tm 3.34, 7 Y 3.39-3.63, 2 Sm 3.42-3.62
Y: 0.2675 0.5263 0.9084  2 Sc 3.30-3.38, 3 Tm 3.34-3.47, 4 Y 3.38-3.45
Y: 0.4594 0.0458 0.7946  1 Sc 3.31, 1 Tm 3.31, 5 Y 3.38-3.63, 1 Sm 3.60
Y: 0.4737 0.7325 0.5916  2 Sc 3.30-3.38, 3 Tm 3.34-3.47, 4 Y 3.38-3.45
Y: 0.5263 0.2675 0.4084  2 Sc 3.30-3.38, 3 Tm 3.34-3.47, 4 Y 3.38-3.45
Y: 0.5406 0.9542 0.2054  1 Sc 3.31, 1 Tm 3.31, 5 Y 3.38-3.63, 1 Sm 3.60
Y: 0.7325 0.4737 0.0916  2 Sc 3.30-3.38, 3 Tm 3.34-3.47, 4 Y 3.38-3.45
Y: 0.7918 0.1290 0.5518  1 Tm 3.34, 7 Y 3.39-3.63, 2 Sm 3.42-3.62
Y: 0.8710 0.2082 0.9482  1 Tm 3.34, 7 Y 3.39-3.63, 2 Sm 3.42-3.62
Y: 0.9542 0.5406 0.7054  1 Sc 3.31, 1 Tm 3.31, 5 Y 3.38-3.63, 1 Sm 3.60
Tm: 0.2114 0.3196 0.5567  2 Sc 3.21-3.51, 5 Y 3.31-3.47, 2 Sm 3.33-3.58
Tm: 0.3196 0.2114 0.0567  2 Sc 3.21-3.51, 5 Y 3.31-3.47, 2 Sm 3.33-3.58
Tm: 0.6804 0.7886 0.9433  2 Sc 3.21-3.51, 5 Y 3.31-3.47, 2 Sm 3.33-3.58
Tm: 0.7886 0.6804 0.4433  2 Sc 3.21-3.51, 5 Y 3.31-3.47, 2 Sm 3.33-3.58
Sc: 0.4431 0.5569 0.2500  4 Tm 3.21-3.51, 6 Y 3.30-3.38
Sc: 0.5569 0.4431 0.7500  4 Tm 3.21-3.51, 6 Y 3.30-3.38